# GGA-PBE CaHf2Rh2, optimized geometry
data_CaHf2Rh2
_chemical_formula_sum 'Ca1 Hf2 Rh2'
_space_group_name_H-M_alt 'P 1'
_space_group_IT_number 1
_cell_length_a 6.949
_cell_length_b 6.949
_cell_length_c 6.949
_cell_angle_alpha 143.82
_cell_angle_beta 143.82
_cell_angle_gamma 52.09
loop_
_space_group_symop_operation_xyz
'x,y,z'
loop_
_atom_site_label
_atom_site_type_symbol
_atom_site_fract_x
_atom_site_fract_y
_atom_site_fract_z
Ca1 Ca 0.000 0.000 0.000
Hf1 Hf 0.366 0.366 0.000
Hf2 Hf 0.634 0.634 0.000
Rh1 Rh 0.250 0.750 0.500
Rh2 Rh 0.750 0.250 0.500
# spin magnetization	0.00	μB/f.u.
# ΔE to the lowest computed polymorph	0.376	eV/atom
# E_tot	-7.578	eV/atom
# formation energy	-0.2560	eV per atom
# symmetry	I4/mmm, No. 139

# GGA-PBE Ca2HfRh2, optimized geometry
data_Ca2HfRh2
_chemical_formula_sum 'Ca4 Hf2 Rh4'
_space_group_name_H-M_alt 'P 1'
_space_group_IT_number 1
_cell_length_a 8.142
_cell_length_b 8.142
_cell_length_c 3.067
_cell_angle_alpha 90.00
_cell_angle_beta 90.00
_cell_angle_gamma 90.00
loop_
_space_group_symop_operation_xyz
'x,y,z'
loop_
_atom_site_label
_atom_site_type_symbol
_atom_site_fract_x
_atom_site_fract_y
_atom_site_fract_z
Ca1 Ca 0.125 0.375 0.000
Ca2 Ca 0.375 0.875 0.000
Ca3 Ca 0.625 0.125 0.000
Ca4 Ca 0.875 0.625 0.000
Hf1 Hf 0.000 0.000 0.000
Hf2 Hf 0.500 0.500 0.000
Rh1 Rh 0.181 0.681 0.500
Rh2 Rh 0.319 0.181 0.500
Rh3 Rh 0.681 0.819 0.500
Rh4 Rh 0.819 0.319 0.500
# spin magnetization	0.00	μB/f.u.
# ΔE to the lowest computed polymorph	0.405	eV/atom
# E_tot	-5.737	eV/atom
# formation energy	-0.0050	eV per atom
# symmetry	P4/mbm, No. 127

# GGA-PBE CaHf2Rh2, optimized geometry
data_CaHf2Rh2
_chemical_formula_sum 'Ca2 Hf4 Rh4'
_space_group_name_H-M_alt 'P 1'
_space_group_IT_number 1
_cell_length_a 7.975
_cell_length_b 7.975
_cell_length_c 3.161
_cell_angle_alpha 90.00
_cell_angle_beta 90.00
_cell_angle_gamma 90.00
loop_
_space_group_symop_operation_xyz
'x,y,z'
loop_
_atom_site_label
_atom_site_type_symbol
_atom_site_fract_x
_atom_site_fract_y
_atom_site_fract_z
Ca1 Ca 0.000 0.000 0.000
Ca2 Ca 0.500 0.500 0.000
Hf1 Hf 0.147 0.353 0.500
Hf2 Hf 0.353 0.853 0.500
Hf3 Hf 0.647 0.147 0.500
Hf4 Hf 0.853 0.647 0.500
Rh1 Rh 0.141 0.641 0.000
Rh2 Rh 0.359 0.141 0.000
Rh3 Rh 0.641 0.859 0.000
Rh4 Rh 0.859 0.359 0.000
# spin magnetization	0.00	μB/f.u.
# ΔE to the lowest computed polymorph	0.060	eV/atom
# E_tot	-7.894	eV/atom
# formation energy	-0.5720	eV per atom
# symmetry	P4/mbm, No. 127

# GGA-PBE Ca2HfSbRh, optimized geometry
data_Ca2HfSbRh
_chemical_formula_sum 'Ca2 Hf1 Sb1 Rh1'
_space_group_name_H-M_alt 'P 1'
_space_group_IT_number 1
_cell_length_a 5.227
_cell_length_b 5.227
_cell_length_c 5.109
_cell_angle_alpha 90.00
_cell_angle_beta 90.00
_cell_angle_gamma 90.00
loop_
_space_group_symop_operation_xyz
'x,y,z'
loop_
_atom_site_label
_atom_site_type_symbol
_atom_site_fract_x
_atom_site_fract_y
_atom_site_fract_z
Ca1 Ca 0.000 0.500 0.000
Ca2 Ca 0.500 0.000 0.000
Hf1 Hf 0.000 0.000 0.500
Sb1 Sb 0.500 0.500 0.500
Rh1 Rh 0.500 0.500 0.000
# spin magnetization	0.00	μB/f.u.
# E_tot	-4.907	eV/atom
# formation energy from raw total energies	179	meV/atom
# symmetry	P4/mmm, No. 123

# GGA-PBE Ca2HfSi2Rh5, optimized geometry
data_Ca2HfSi2Rh5
_chemical_formula_sum 'Ca4 Hf2 Si4 Rh10'
_space_group_name_H-M_alt 'P 1'
_space_group_IT_number 1
_cell_length_a 10.010
_cell_length_b 10.010
_cell_length_c 3.371
_cell_angle_alpha 90.00
_cell_angle_beta 90.00
_cell_angle_gamma 90.00
loop_
_space_group_symop_operation_xyz
'x,y,z'
loop_
_atom_site_label
_atom_site_type_symbol
_atom_site_fract_x
_atom_site_fract_y
_atom_site_fract_z
Ca1 Ca 0.174 0.326 0.000
Ca2 Ca 0.326 0.826 0.000
Ca3 Ca 0.674 0.174 0.000
Ca4 Ca 0.826 0.674 0.000
Hf1 Hf 0.000 0.000 0.000
Hf2 Hf 0.500 0.500 0.000
Si1 Si 0.124 0.624 0.000
Si2 Si 0.376 0.124 0.000
Si3 Si 0.624 0.876 0.000
Si4 Si 0.876 0.376 0.000
Rh1 Rh 0.000 0.500 0.500
Rh2 Rh 0.069 0.787 0.500
Rh3 Rh 0.213 0.069 0.500
Rh4 Rh 0.287 0.569 0.500
Rh5 Rh 0.431 0.287 0.500
Rh6 Rh 0.500 0.000 0.500
Rh7 Rh 0.569 0.713 0.500
Rh8 Rh 0.713 0.431 0.500
Rh9 Rh 0.787 0.931 0.500
Rh10 Rh 0.931 0.213 0.500
# spin magnetization	0.00	μB/f.u.
# E_tot	-7.007	eV/atom
# formation energy from raw total energies	-851	meV/atom
# symmetry	P4/mbm, No. 127

# GGA-PBE CaHfSiRh2, optimized geometry
data_CaHfSiRh2
_chemical_formula_sum 'Ca1 Hf1 Si1 Rh2'
_space_group_name_H-M_alt 'P 1'
_space_group_IT_number 1
_cell_length_a 4.580
_cell_length_b 4.580
_cell_length_c 5.032
_cell_angle_alpha 90.00
_cell_angle_beta 90.00
_cell_angle_gamma 90.00
loop_
_space_group_symop_operation_xyz
'x,y,z'
loop_
_atom_site_label
_atom_site_type_symbol
_atom_site_fract_x
_atom_site_fract_y
_atom_site_fract_z
Ca1 Ca 0.000 0.000 0.000
Hf1 Hf 0.500 0.500 0.500
Si1 Si 0.000 0.000 0.500
Rh1 Rh 0.000 0.500 0.000
Rh2 Rh 0.500 0.000 0.000
# spin magnetization	0.00	μB/f.u.
# E_tot	-5.256	eV/atom
# formation energy from raw total energies	1160	meV/atom
# symmetry	P4/mmm, No. 123

# GGA-PBE CaTb2Hf2Rh5, optimized geometry
data_CaTb2Hf2Rh5
_chemical_formula_sum 'Ca2 Tb4 Hf4 Rh10'
_space_group_name_H-M_alt 'P 1'
_space_group_IT_number 1
_cell_length_a 10.521
_cell_length_b 10.521
_cell_length_c 3.684
_cell_angle_alpha 90.00
_cell_angle_beta 90.00
_cell_angle_gamma 90.00
loop_
_space_group_symop_operation_xyz
'x,y,z'
loop_
_atom_site_label
_atom_site_type_symbol
_atom_site_fract_x
_atom_site_fract_y
_atom_site_fract_z
Ca1 Ca 0.000 0.000 0.000
Ca2 Ca 0.500 0.500 0.000
Tb1 Tb 0.176 0.324 0.000
Tb2 Tb 0.324 0.824 0.000
Tb3 Tb 0.676 0.176 0.000
Tb4 Tb 0.824 0.676 0.000
Hf1 Hf 0.123 0.623 0.000
Hf2 Hf 0.377 0.123 0.000
Hf3 Hf 0.623 0.877 0.000
Hf4 Hf 0.877 0.377 0.000
Rh1 Rh 0.000 0.500 0.500
Rh2 Rh 0.067 0.790 0.500
Rh3 Rh 0.210 0.067 0.500
Rh4 Rh 0.290 0.567 0.500
Rh5 Rh 0.433 0.290 0.500
Rh6 Rh 0.500 0.000 0.500
Rh7 Rh 0.567 0.710 0.500
Rh8 Rh 0.710 0.433 0.500
Rh9 Rh 0.790 0.933 0.500
Rh10 Rh 0.933 0.210 0.500
# spin magnetization	0.00	μB/f.u.
# E_tot	-7.374	eV/atom
# formation energy	-0.5811	eV per atom
# symmetry	P4/mbm, No. 127

# GGA-PBE CaHfTiRh2, optimized geometry
data_CaHfTiRh2
_chemical_formula_sum 'Ca1 Hf1 Ti1 Rh2'
_space_group_name_H-M_alt 'P 1'
_space_group_IT_number 1
_cell_length_a 4.619
_cell_length_b 4.619
_cell_length_c 4.749
_cell_angle_alpha 90.00
_cell_angle_beta 90.00
_cell_angle_gamma 90.00
loop_
_space_group_symop_operation_xyz
'x,y,z'
loop_
_atom_site_label
_atom_site_type_symbol
_atom_site_fract_x
_atom_site_fract_y
_atom_site_fract_z
Ca1 Ca 0.000 0.000 0.000
Hf1 Hf 0.500 0.500 0.000
Ti1 Ti 0.000 0.000 0.500
Rh1 Rh 0.000 0.500 0.500
Rh2 Rh 0.500 0.000 0.500
# spin magnetization	0.16	μB/f.u.
# E_tot	-6.388	eV/atom
# formation energy	0.5221	eV per atom
# symmetry	P4/mmm, No. 123

# GGA-PBE CaYHf2Rh, optimized geometry
data_CaYHf2Rh
_chemical_formula_sum 'Ca1 Y1 Hf2 Rh1'
_space_group_name_H-M_alt 'P 1'
_space_group_IT_number 1
_cell_length_a 5.118
_cell_length_b 5.118
_cell_length_c 4.797
_cell_angle_alpha 90.00
_cell_angle_beta 90.00
_cell_angle_gamma 90.00
loop_
_space_group_symop_operation_xyz
'x,y,z'
loop_
_atom_site_label
_atom_site_type_symbol
_atom_site_fract_x
_atom_site_fract_y
_atom_site_fract_z
Ca1 Ca 0.000 0.000 0.000
Y1 Y 0.500 0.500 0.500
Hf1 Hf 0.000 0.500 0.000
Hf2 Hf 0.500 0.000 0.000
Rh1 Rh 0.000 0.000 0.500
# spin magnetization	0.00	μB/f.u.
# E_tot	-5.935	eV/atom
# formation energy	1.2100	eV per atom
# symmetry	P4/mmm, No. 123

# GGA-PBE CaHfRu2, optimized geometry
data_CaHfRu2
_chemical_formula_sum 'Ca2 Hf2 Ru4'
_space_group_name_H-M_alt 'P 1'
_space_group_IT_number 1
_cell_length_a 5.960
_cell_length_b 5.960
_cell_length_c 5.960
_cell_angle_alpha 104.97
_cell_angle_beta 104.97
_cell_angle_gamma 118.91
loop_
_space_group_symop_operation_xyz
'x,y,z'
loop_
_atom_site_label
_atom_site_type_symbol
_atom_site_fract_x
_atom_site_fract_y
_atom_site_fract_z
Ca1 Ca 0.000 0.000 0.000
Ca2 Ca 0.750 0.250 0.500
Hf1 Hf 0.250 0.750 0.500
Hf2 Hf 0.500 0.500 0.000
Ru1 Ru 0.153 0.625 0.028
Ru2 Ru 0.375 0.403 0.528
Ru3 Ru 0.597 0.125 0.972
Ru4 Ru 0.875 0.847 0.472
# spin magnetization	0.00	μB/f.u.
# E_tot	-7.227	eV/atom
# formation energy	0.3993	eV per atom
# symmetry	I-42d, No. 122

# GGA-PBE CaHfRu4, optimized geometry
data_CaHfRu4
_chemical_formula_sum 'Ca1 Hf1 Ru4'
_space_group_name_H-M_alt 'P 1'
_space_group_IT_number 1
_cell_length_a 5.251
_cell_length_b 5.251
_cell_length_c 5.251
_cell_angle_alpha 60.00
_cell_angle_beta 60.00
_cell_angle_gamma 60.00
loop_
_space_group_symop_operation_xyz
'x,y,z'
loop_
_atom_site_label
_atom_site_type_symbol
_atom_site_fract_x
_atom_site_fract_y
_atom_site_fract_z
Ca1 Ca 0.000 0.000 0.000
Hf1 Hf 0.750 0.750 0.750
Ru1 Ru 0.375 0.375 0.375
Ru2 Ru 0.375 0.375 0.874
Ru3 Ru 0.375 0.874 0.375
Ru4 Ru 0.874 0.375 0.375
# spin magnetization	0.00	μB/f.u.
# E_tot	-8.283	eV/atom
# formation energy	-0.1067	eV per atom
# symmetry	F-43m, No. 216

# GGA-PBE Ca2Hf2Ru, optimized geometry
data_Ca2Hf2Ru
_chemical_formula_sum 'Ca4 Hf4 Ru2'
_space_group_name_H-M_alt 'P 1'
_space_group_IT_number 1
_cell_length_a 6.688
_cell_length_b 6.688
_cell_length_c 5.374
_cell_angle_alpha 90.00
_cell_angle_beta 90.00
_cell_angle_gamma 90.00
loop_
_space_group_symop_operation_xyz
'x,y,z'
loop_
_atom_site_label
_atom_site_type_symbol
_atom_site_fract_x
_atom_site_fract_y
_atom_site_fract_z
Ca1 Ca 0.148 0.352 0.000
Ca2 Ca 0.352 0.852 0.000
Ca3 Ca 0.648 0.148 0.000
Ca4 Ca 0.852 0.648 0.000
Hf1 Hf 0.172 0.672 0.500
Hf2 Hf 0.328 0.172 0.500
Hf3 Hf 0.672 0.828 0.500
Hf4 Hf 0.828 0.328 0.500
Ru1 Ru 0.000 0.000 0.000
Ru2 Ru 0.500 0.500 0.000
# spin magnetization	0.00	μB/f.u.
# ΔE to the lowest computed polymorph	0.003	eV/atom
# E_tot	-5.810	eV/atom
# formation energy	0.8274	eV per atom
# symmetry	P4/mbm, No. 127